Entry 1:
Below is a relaxed Ba2SrSbP crystal, with properties calculated at the GGA-PBE level.

Computed properties:
- formation energy from raw total energies (meV/atom) = -866

Structure (POSCAR):
```
Ba2SrSbP
1.0
6.113 0.000 0.000
0.000 6.113 0.000
0.000 0.000 5.778
P Sb Sr Ba
1 1 1 2
direct
0.000 0.000 0.003
0.500 0.500 0.539
0.000 0.000 0.498
0.500 0.000 0.980
0.000 0.500 0.980
```

=====

Entry 2:
Below is a relaxed BeCd3Hg crystal, with properties calculated at the GGA-PBE level.

Computed properties:
- energy of formation (kJ per mole of atoms) = 79.96

Structure (POSCAR):
```
BeCd3Hg
1.0
5.414 0.000 0.000
0.000 5.414 0.000
0.000 0.000 5.414
Cd Hg Be
3 1 1
direct
0.500 0.000 0.000
0.000 0.000 0.500
0.000 0.500 0.000
0.000 0.000 0.000
0.500 0.500 0.500
```